Entry 1:
A plane-wave DFT calculation with PBE was carried out for a relaxed Cs2NiIBr6 crystal.

abc: 7.935 7.935 7.935
angles: 117.59 117.59 94.23
Fractional coordinates of all 10 atoms:
Cs 0.250 0.750 0.500
Cs 0.750 0.250 0.500
Ni 0.000 0.000 0.000
I 0.500 0.500 0.000
Br 0.207 0.207 0.414
Br 0.207 0.793 0.000
Br 0.241 0.241 0.000
Br 0.759 0.759 0.000
Br 0.793 0.207 0.000
Br 0.793 0.793 0.586

Results
Theoretical density (g cm⁻³): 4.23
Electronic total energy (eV/atom): -2.749
Space-group type: I4/mmm
Energy relative to the elements, uncorrected (eV/atom): -0.841

---

Entry 2:
A plane-wave DFT calculation with PBE was carried out for a relaxed Pu5Np crystal.

abc: 9.093 9.093 3.125
angles: 90.00 90.00 147.13
Fractional coordinates of all 6 atoms:
Pu 0.000 0.000 0.000
Pu 0.187 0.813 0.500
Pu 0.366 0.634 0.000
Pu 0.634 0.366 0.000
Pu 0.813 0.187 0.500
Np 0.500 0.500 0.500

Results
Theoretical density (g cm⁻³): 17.25
Electronic total energy (eV/atom): -13.721
Formation energy (eV/atom): 0.379
Space-group type: Cmmm

---

Entry 3:
A plane-wave DFT calculation with PBE was carried out for a relaxed MoCI3 crystal.

abc: 5.083 5.083 5.083
angles: 90.00 90.00 90.00
Fractional coordinates of all 5 atoms:
Mo 0.000 0.000 0.000
C 0.500 0.500 0.500
I 0.000 0.500 0.500
I 0.500 0.000 0.500
I 0.500 0.500 0.000

Results
Theoretical density (g cm⁻³): 6.18
Offset from the most stable computed form (meV per atom): 52
Electronic total energy (eV/atom): -3.244
Space-group type: Pm-3m
Energy relative to the elements, uncorrected (eV/atom): 1.697

---

Entry 4:
A plane-wave DFT calculation with PBE was carried out for a relaxed Tb3TmTl5 crystal.

abc: 9.345 9.345 6.579
angles: 90.00 90.00 120.00
Fractional coordinates of all 18 atoms:
Tb 0.000 0.370 0.250
Tb 0.000 0.630 0.750
Tb 0.370 0.000 0.250
Tb 0.370 0.370 0.750
Tb 0.630 0.000 0.750
Tb 0.630 0.630 0.250
Tm 0.000 0.000 0.000
Tm 0.000 0.000 0.500
Tl 0.000 0.296 0.750
Tl 0.000 0.704 0.250
Tl 0.296 0.000 0.750
Tl 0.296 0.296 0.250
Tl 0.333 0.667 0.000
Tl 0.333 0.667 0.500
Tl 0.667 0.333 0.000
Tl 0.667 0.333 0.500
Tl 0.704 0.000 0.250
Tl 0.704 0.704 0.750

Results
Theoretical density (g cm⁻³): 11.13
Electronic total energy (eV/atom): -3.659
Formation energy (eV/atom): -0.304
Space-group type: P6_3/mcm

---

Entry 5:
A plane-wave DFT calculation with PBE was carried out for a relaxed Y2Tm2Sb3 crystal.

abc: 4.341 7.301 7.329
angles: 81.09 89.97 72.76
Fractional coordinates of all 7 atoms:
Y 0.124 0.252 0.363
Y 0.876 0.748 0.637
Tm 0.380 0.738 0.117
Tm 0.620 0.262 0.883
Sb 0.243 0.016 0.755
Sb 0.500 0.500 0.500
Sb 0.757 0.984 0.245

Results
Theoretical density (g cm⁻³): 6.68
Offset from the most stable computed form (meV per atom): 139
Electronic total energy (eV/atom): -5.722
Space-group type: P-1
Energy relative to the elements, uncorrected (eV/atom): -0.831

---

Entry 6:
A plane-wave DFT calculation with PBE was carried out for a relaxed Nb2Ir2Ru crystal.

abc: 6.107 6.107 6.107
angles: 139.51 139.51 58.59
Fractional coordinates of all 5 atoms:
Nb 0.250 0.750 0.500
Nb 0.750 0.250 0.500
Ir 0.115 0.115 0.000
Ir 0.885 0.885 0.000
Ru 0.500 0.500 0.000

Results
Theoretical density (g cm⁻³): 11.72
Offset from the most stable computed form (meV per atom): 490
Electronic total energy (eV/atom): -9.129
Formation energy (eV/atom): 0.298
Space-group type: I4/mmm